A plane-wave DFT calculation with PBE was carried out for an optimized crystal structure of CeDyTmSn.

Output
- Crystal system: cubic
- SG: F-43m, No. 216
- ρ: 9.06 g/cm³
- ΔH_f (0 K): -17 kJ per mole of atoms

The structure in extended XYZ format:
```
4
Lattice="-0.755 3.181 -4.233 -2.476 -1.882 -4.352 -4.921 1.701 -1.223" Properties=species:S:1:pos:R:3 pbc="T T T"
Ce 0.000 0.000 0.000
Dy -6.114 2.250 -7.356
Tm -2.038 0.750 -2.452
Sn -4.076 1.500 -4.904
```

=====

A plane-wave DFT calculation with PBE was carried out for an optimized crystal structure of CeDyZnSn.

Output
- Crystal system: cubic
- SG: F-43m, No. 216
- ρ: 7.89 g/cm³
- ΔH_f (0 K): -43 kJ per mole of atoms

The structure in extended XYZ format:
```
4
Lattice="5.252 0.000 0.000 2.626 4.549 0.000 2.626 1.516 4.289" Properties=species:S:1:pos:R:3 pbc="T T T"
Zn 7.879 4.549 3.216
Dy 0.000 0.000 0.000
Ce 5.252 3.033 2.144
Sn 2.626 1.516 1.072
```

=====

A plane-wave DFT calculation with PBE was carried out for an optimized crystal structure of Sr3CeDy3Te8.

Output
- Crystal system: trigonal
- Formation energy (no corrections): -22.4 eV/f.u.
- SG: R-3m, No. 166
- ρ: 6.04 g/cm³

The structure in extended XYZ format:
```
15
Lattice="8.925 0.000 0.000 -4.463 7.730 -0.026 0.000 -5.127 7.628" Properties=species:S:1:pos:R:3 pbc="T T T"
Dy 4.463 -2.563 3.814
Sr 0.000 0.000 0.000
Te -2.145 3.834 5.588
Sr -2.231 3.865 -0.013
Te 0.000 2.584 2.042
Ce 0.000 -2.563 3.814
Te 0.000 0.120 5.601
Dy -2.231 1.302 3.801
Te 6.608 -1.231 2.013
Sr 2.231 3.865 -0.013
Dy 2.231 1.302 3.801
Te 2.145 3.834 5.588
Te 2.318 -1.231 2.013
Te 4.463 0.020 5.559
Te 4.463 2.483 2.001
```

=====

A plane-wave DFT calculation with PBE was carried out for an optimized crystal structure of Sr3CeDy2Te6.

Output
- Crystal system: monoclinic
- Formation energy (no corrections): -17.9 eV/f.u.
- SG: C2/m, No. 12
- ρ: 6.16 g/cm³

The structure in extended XYZ format:
```
12
Lattice="-0.618 7.678 -1.387 -6.289 -4.611 -0.673 0.652 0.164 7.992" Properties=species:S:1:pos:R:3 pbc="T T T"
Dy -4.403 -0.524 -0.910
Sr -3.127 1.615 2.966
Sr -1.222 5.745 2.726
Te -5.655 0.333 4.689
Te -2.533 -1.293 1.487
Te -0.600 2.898 1.244
Te -1.322 0.935 5.590
Ce 0.000 0.000 0.000
Te -3.721 4.524 4.445
Te -4.933 2.296 0.343
Dy -2.504 3.591 -1.149
Sr -5.033 -2.514 3.206
```